1.
This record from Alexandria via LeMat-Bulk describes an optimized crystal structure of Ac3Cd7In2. The functional is PBE-GGA.

Lattice parameters (Å, degrees): 4.9544 4.8012 14.9928 90.00 99.26 90.00
Fractional coordinates of all 12 atoms:
Ac1 0.0000 0.0000 0.0000
Ac2 0.3211 0.5000 0.6466
Ac3 0.6789 0.5000 0.3534
Cd1 0.0851 0.5000 0.1583
Cd2 0.2298 0.0000 0.4580
Cd3 0.4202 0.0000 0.8420
Cd4 0.5000 0.5000 0.0000
Cd5 0.5798 0.0000 0.1580
Cd6 0.7702 0.0000 0.5420
Cd7 0.9149 0.5000 0.8417
In1 0.1341 0.0000 0.2685
In2 0.8659 0.0000 0.7315

Calculated values
Calculated total energy ... -27.4 eV/f.u.
ΔE_f ... -265 meV per atom
Space group ... No. 10

***

2.
This record from Alexandria via LeMat-Bulk describes an optimized crystal structure of NdHo4Er2Th. The functional is PBE-GGA.

Lattice parameters (Å, degrees): 5.0265 5.0438 9.9887 90.00 90.00 90.00
Fractional coordinates of all 8 atoms:
Nd1 0.0000 0.0000 0.0000
Ho1 0.0000 0.5000 0.2532
Ho2 0.0000 0.5000 0.7468
Ho3 0.5000 0.0000 0.2540
Ho4 0.5000 0.0000 0.7460
Er1 0.0000 0.0000 0.5000
Er2 0.5000 0.5000 0.0000
Th1 0.5000 0.5000 0.5000

Calculated values
Calculated total energy ... -39.4 eV/f.u.
ΔE_f ... 32 meV per atom
Space group ... No. 47

***

3.
This record from Alexandria via LeMat-Bulk describes an optimized crystal structure of ScB4. The functional is PBE-GGA.

Lattice parameters (Å, degrees): 4.4764 4.4764 4.4764 90.00 90.00 90.00
Fractional coordinates of all 5 atoms:
Sc1 0.0000 0.0000 0.0000
B1 0.0000 0.0000 0.5000
B2 0.0000 0.5000 0.0000
B3 0.5000 0.0000 0.0000
B4 0.5000 0.5000 0.5000

Calculated values
Energy above the lowest structure with this stoichiometry ... 3407 meV/atom
Calculated total energy ... -18.4 eV/f.u.
ΔE_f ... 2938 meV per atom
Space group ... No. 221

***

4.
This record from Alexandria via LeMat-Bulk describes an optimized crystal structure of TmPt2Au. The functional is PBE-GGA.

Lattice parameters (Å, degrees): 4.7051 4.7051 4.7051 60.00 60.00 60.00
Fractional coordinates of all 4 atoms:
Tm1 0.0000 0.0000 0.0000
Pt1 0.2500 0.2500 0.2500
Pt2 0.7500 0.7500 0.7500
Au1 0.5000 0.5000 0.5000

Calculated values
Calculated total energy ... -22.9 eV/f.u.
ΔE_f ... -776 meV per atom
Space group ... No. 225

***

5.
This record from Alexandria via LeMat-Bulk describes an optimized crystal structure of Rb3SeI6. The functional is PBE-GGA.

Lattice parameters (Å, degrees): 9.2177 7.9957 14.7178 90.00 115.30 90.00
Fractional coordinates of all 20 atoms:
Rb1 0.0000 0.0000 0.0000
Rb2 0.0000 0.5000 0.5000
Rb3 0.2664 0.0663 0.7753
Rb4 0.2664 0.4337 0.2753
Rb5 0.7336 0.5663 0.7247
Rb6 0.7336 0.9337 0.2247
Se1 0.5000 0.0000 0.5000
Se2 0.5000 0.5000 0.0000
I1 0.1644 0.5333 0.7720
I2 0.1644 0.9667 0.2720
I3 0.3450 0.6973 0.0918
I4 0.3450 0.8027 0.5918
I5 0.3820 0.2091 0.0528
I6 0.3820 0.2909 0.5528
I7 0.6180 0.7091 0.4472
I8 0.6180 0.7909 0.9472
I9 0.6550 0.1973 0.4082
I10 0.6550 0.3027 0.9082
I11 0.8356 0.0333 0.7280
I12 0.8356 0.4667 0.2280

Calculated values
Energy above the lowest structure with this stoichiometry ... 0 meV/atom
Calculated total energy ... -23.8 eV/f.u.
Space group ... No. 14

***

6.
This record from Alexandria via LeMat-Bulk describes an optimized crystal structure of Y3AlCu8. The functional is PBE-GGA.

Lattice parameters (Å, degrees): 8.9408 8.9408 8.9408 33.63 33.63 33.63
Fractional coordinates of all 12 atoms:
Y1 0.0000 0.0000 0.0000
Y2 0.1259 0.1259 0.1259
Y3 0.6134 0.6134 0.6134
Al1 0.4883 0.4883 0.4883
Cu1 0.0550 0.0550 0.5630
Cu2 0.0550 0.5630 0.0550
Cu3 0.0632 0.5588 0.5588
Cu4 0.3079 0.3079 0.3079
Cu5 0.5588 0.0632 0.5588
Cu6 0.5588 0.5588 0.0632
Cu7 0.5630 0.0550 0.0550
Cu8 0.8093 0.8093 0.8093

Calculated values
Calculated total energy ... -58.3 eV/f.u.
ΔE_f ... -200 meV per atom
Space group ... No. 160

***

7.
This record from Alexandria via LeMat-Bulk describes an optimized crystal structure of CaTc2Ru. The functional is PBE-GGA.

Lattice parameters (Å, degrees): 5.3021 5.3021 5.3021 137.79 137.79 61.23
Fractional coordinates of all 4 atoms:
Ca1 0.0000 0.0000 0.0000
Tc1 0.2500 0.7500 0.5000
Tc2 0.7500 0.2500 0.5000
Ru1 0.5000 0.5000 0.0000

Calculated values
Energy above the lowest structure with this stoichiometry ... 307 meV/atom
Calculated total energy ... -29.3 eV/f.u.
ΔE_f ... 669 meV per atom
Space group ... No. 139

***

8.
This record from Alexandria via LeMat-Bulk describes an optimized crystal structure of K3Cd2GeBr9. The functional is PBE-GGA.

Lattice parameters (Å, degrees): 7.8485 7.8485 9.6076 90.00 90.00 120.00
Fractional coordinates of all 15 atoms:
K1 0.0000 0.0000 0.0000
K2 0.3333 0.6667 0.6808
K3 0.6667 0.3333 0.3192
Cd1 0.3333 0.6667 0.1691
Cd2 0.6667 0.3333 0.8309
Ge1 0.0000 0.0000 0.5000
Br1 0.0000 0.5000 0.0000
Br2 0.1656 0.3312 0.3330
Br3 0.1656 0.8344 0.3330
Br4 0.3312 0.1656 0.6670
Br5 0.5000 0.0000 0.0000
Br6 0.5000 0.5000 0.0000
Br7 0.6688 0.8344 0.3330
Br8 0.8344 0.1656 0.6670
Br9 0.8344 0.6688 0.6670

Calculated values
Calculated total energy ... -41.4 eV/f.u.
Space group ... No. 164

***

9.
This record from Alexandria via LeMat-Bulk describes an optimized crystal structure of AlIr2Pb. The functional is PBE-GGA.

Lattice parameters (Å, degrees): 4.7028 4.7028 3.0731 90.00 90.00 99.85
Fractional coordinates of all 4 atoms:
Al1 0.0000 0.0000 0.0000
Ir1 0.0000 0.5000 0.5000
Ir2 0.5000 0.0000 0.5000
Pb1 0.5000 0.5000 0.0000

Calculated values
Energy above the lowest structure with this stoichiometry ... 220 meV/atom
Calculated total energy ... -25.0 eV/f.u.
ΔE_f ... 50 meV per atom
Space group ... No. 65

***

10.
This record from Alexandria via LeMat-Bulk describes an optimized crystal structure of TlCd6In5. The functional is PBE-GGA.

Lattice parameters (Å, degrees): 4.8163 7.4532 8.8346 89.95 89.97 73.73
Fractional coordinates of all 12 atoms:
Tl1 0.0000 0.0000 0.0000
Cd1 0.1698 0.6619 0.2536
Cd2 0.1697 0.6619 0.7464
Cd3 0.5000 0.0000 0.2526
Cd4 0.5000 0.0000 0.7474
Cd5 0.8303 0.3381 0.2536
Cd6 0.8302 0.3381 0.7464
In1 0.0000 0.0000 0.5000
In2 0.3324 0.3377 0.0000
In3 0.3340 0.3314 0.5000
In4 0.6660 0.6686 0.5000
In5 0.6676 0.6623 0.0000

Calculated values
Calculated total energy ... -21.1 eV/f.u.
ΔE_f ... 39 meV per atom
Space group ... No. 2

***

11.
This record from Alexandria via LeMat-Bulk describes an optimized crystal structure of Cd2HgB2O6. The functional is PBE-GGA.

Lattice parameters (Å, degrees): 5.1929 5.4046 6.4205 72.33 77.60 61.31
Fractional coordinates of all 11 atoms:
Cd1 0.2408 0.2575 0.3522
Cd2 0.7592 0.7425 0.6478
Hg1 0.0000 0.0000 0.0000
B1 0.4109 0.3827 0.7430
B2 0.5891 0.6173 0.2570
O1 0.1754 0.6498 0.7376
O2 0.3183 0.6534 0.2131
O3 0.3855 0.1587 0.6970
O4 0.6145 0.8413 0.3030
O5 0.6817 0.3466 0.7869
O6 0.8246 0.3502 0.2624

Calculated values
Calculated total energy ... -61.8 eV/f.u.
Space group ... No. 2

***

12.
This record from Alexandria via LeMat-Bulk describes an optimized crystal structure of TaMnSi2. The functional is PBE-GGA.

Lattice parameters (Å, degrees): 4.2818 4.2818 4.2818 60.00 60.00 60.00
Fractional coordinates of all 4 atoms:
Ta1 0.0000 0.0000 0.0000
Mn1 0.7500 0.7500 0.7500
Si1 0.2500 0.2500 0.2500
Si2 0.5000 0.5000 0.5000

Calculated values
Calculated total energy ... -31.7 eV/f.u.
Space group ... No. 216

***

13.
This record from Alexandria via LeMat-Bulk describes an optimized crystal structure of Pd5Se8Cl. The functional is PBE-GGA.

Lattice parameters (Å, degrees): 9.7112 9.7112 7.9392 99.21 99.21 23.33
Fractional coordinates of all 14 atoms:
Pd1 0.0000 0.0000 0.0000
Pd2 0.0396 0.0396 0.3795
Pd3 0.3509 0.3509 0.2878
Pd4 0.3911 0.3911 0.6680
Pd5 0.6955 0.6955 0.3349
Se1 0.1317 0.1317 0.1730
Se2 0.2594 0.2594 0.4966
Se3 0.4736 0.4736 0.1943
Se4 0.5217 0.5217 0.8033
Se5 0.5969 0.5969 0.5576
Se6 0.7936 0.7936 0.1099
Se7 0.8692 0.8692 0.8651
Se8 0.9173 0.9173 0.4726
Cl1 0.1954 0.1954 0.8251

Calculated values
Calculated total energy ... -59.0 eV/f.u.
Space group ... No. 8